## AcNd9Dy2 (PBE-GGA)

Data for a relaxed AcNd9Dy2 crystal.

The value obtained for the size of the total moment is 0.0 μB per cell. The symmetry is P4/mmm, No. 123.

Structure (CIF):
```
data_AcNd9Dy2
_chemical_formula_sum 'Ac1 Nd9 Dy2'
_cell_length_a 5.205
_cell_length_b 5.205
_cell_length_c 15.640
_cell_angle_alpha 90.00
_cell_angle_beta 90.00
_cell_angle_gamma 90.00
_symmetry_space_group_name_H-M 'P 1'
_symmetry_Int_Tables_number 1
loop_
_symmetry_equiv_pos_as_xyz
'x,y,z'
loop_
_atom_site_label
_atom_site_fract_x
_atom_site_fract_y
_atom_site_fract_z
Dy1 0.000 0.000 0.337
Nd1 0.500 0.500 0.662
Nd2 0.500 0.500 0.338
Nd3 0.000 0.500 0.174
Nd4 0.000 0.500 0.826
Nd5 0.500 0.000 0.500
Nd6 0.500 0.000 0.174
Nd7 0.500 0.000 0.826
Nd8 0.500 0.500 0.000
Ac1 0.000 0.000 0.000
Nd9 0.000 0.500 0.500
Dy2 0.000 0.000 0.663
```



## AcNd2Dy2 (PBE-GGA)

Data for a relaxed AcNd2Dy2 crystal.

The value obtained for the size of the total moment is 0.0 μB per cell. The energy above the most stable polymorph in this dataset is 0.000 eV/atom. The symmetry is I4/mmm, No. 139.

Structure (CIF):
```
data_AcNd2Dy2
_chemical_formula_sum 'Ac1 Nd2 Dy2'
_cell_length_a 6.038
_cell_length_b 6.038
_cell_length_c 6.623
_cell_angle_alpha 117.11
_cell_angle_beta 117.12
_cell_angle_gamma 90.00
_symmetry_space_group_name_H-M 'P 1'
_symmetry_Int_Tables_number 1
loop_
_symmetry_equiv_pos_as_xyz
'x,y,z'
loop_
_atom_site_label
_atom_site_fract_x
_atom_site_fract_y
_atom_site_fract_z
Ac1 0.500 0.000 0.500
Nd1 0.143 0.643 0.785
Dy1 0.750 0.750 0.000
Dy2 0.250 0.250 0.000
Nd2 0.857 0.357 0.215
```



## Ac8Nd2Dy3 (PBE-GGA)

Data for a relaxed Ac8Nd2Dy3 crystal.

The value obtained for the size of the total moment is 0.0 μB per cell. The symmetry is P-1, No. 2.

Structure (CIF):
```
data_Ac8Nd2Dy3
_chemical_formula_sum 'Ac8 Nd2 Dy3'
_cell_length_a 6.687
_cell_length_b 6.666
_cell_length_c 12.097
_cell_angle_alpha 79.33
_cell_angle_beta 89.82
_cell_angle_gamma 99.65
_symmetry_space_group_name_H-M 'P 1'
_symmetry_Int_Tables_number 1
loop_
_symmetry_equiv_pos_as_xyz
'x,y,z'
loop_
_atom_site_label
_atom_site_fract_x
_atom_site_fract_y
_atom_site_fract_z
Dy1 0.461 0.776 0.927
Dy2 0.000 0.000 0.000
Ac1 0.693 0.158 0.382
Ac2 0.086 0.457 0.149
Nd1 0.233 0.387 0.463
Dy3 0.539 0.224 0.073
Ac3 0.156 0.919 0.305
Ac4 0.307 0.842 0.618
Ac5 0.381 0.303 0.778
Ac6 0.619 0.697 0.222
Nd2 0.767 0.613 0.537
Ac7 0.844 0.081 0.695
Ac8 0.914 0.543 0.851
```



## AcNdDy (PBE-GGA)

Data for a relaxed AcNdDy crystal.

The value obtained for the size of the total moment is 0.0 μB per cell. The energy above the most stable polymorph in this dataset is 0.014 eV/atom. The symmetry is P2_1/m, No. 11.

Structure (CIF):
```
data_AcNdDy
_chemical_formula_sum 'Ac2 Nd2 Dy2'
_cell_length_a 3.705
_cell_length_b 5.707
_cell_length_c 10.693
_cell_angle_alpha 90.00
_cell_angle_beta 99.88
_cell_angle_gamma 90.00
_symmetry_space_group_name_H-M 'P 1'
_symmetry_Int_Tables_number 1
loop_
_symmetry_equiv_pos_as_xyz
'x,y,z'
loop_
_atom_site_label
_atom_site_fract_x
_atom_site_fract_y
_atom_site_fract_z
Nd1 0.964 0.750 0.427
Nd2 0.036 0.250 0.573
Dy1 0.387 0.250 0.274
Dy2 0.613 0.750 0.726
Ac1 0.795 0.750 0.093
Ac2 0.205 0.250 0.907
```



## AcNd15Dy4 (PBE-GGA)

Data for a relaxed AcNd15Dy4 crystal.

The value obtained for the size of the total moment is 0.0 μB per cell. The symmetry is P4/mmm, No. 123.

Structure (CIF):
```
data_AcNd15Dy4
_chemical_formula_sum 'Ac1 Nd15 Dy4'
_cell_length_a 5.195
_cell_length_b 5.195
_cell_length_c 25.900
_cell_angle_alpha 90.00
_cell_angle_beta 90.00
_cell_angle_gamma 90.00
_symmetry_space_group_name_H-M 'P 1'
_symmetry_Int_Tables_number 1
loop_
_symmetry_equiv_pos_as_xyz
'x,y,z'
loop_
_atom_site_label
_atom_site_fract_x
_atom_site_fract_y
_atom_site_fract_z
Nd1 0.500 0.500 0.599
Nd2 0.500 0.000 0.303
Nd3 0.000 0.500 0.303
Nd4 0.500 0.000 0.697
Dy1 0.000 0.000 0.401
Nd5 0.500 0.000 0.895
Ac1 0.000 0.000 0.000
Nd6 0.500 0.500 0.795
Nd7 0.500 0.500 0.205
Dy2 0.000 0.000 0.204
Dy3 0.000 0.000 0.796
Dy4 0.000 0.000 0.599
Nd8 0.500 0.000 0.105
Nd9 0.000 0.500 0.697
Nd10 0.500 0.500 0.000
Nd11 0.000 0.500 0.895
Nd12 0.000 0.500 0.105
Nd13 0.500 0.000 0.500
Nd14 0.500 0.500 0.401
Nd15 0.000 0.500 0.500
```



## Ac3NdDy (PBE-GGA)

Data for a relaxed Ac3NdDy crystal.

The value obtained for the size of the total moment is 0.0 μB per cell. The symmetry is C2/m, No. 12.

Structure (CIF):
```
data_Ac3NdDy
_chemical_formula_sum 'Ac6 Nd2 Dy2'
_cell_length_a 7.513
_cell_length_b 10.081
_cell_length_c 9.355
_cell_angle_alpha 136.36
_cell_angle_beta 90.00
_cell_angle_gamma 111.88
_symmetry_space_group_name_H-M 'P 1'
_symmetry_Int_Tables_number 1
loop_
_symmetry_equiv_pos_as_xyz
'x,y,z'
loop_
_atom_site_label
_atom_site_fract_x
_atom_site_fract_y
_atom_site_fract_z
Dy1 0.057 0.113 0.886
Ac1 0.095 0.691 0.309
Ac2 0.905 0.309 0.691
Nd1 0.443 0.885 0.115
Nd2 0.557 0.115 0.885
Ac3 0.596 0.691 0.309
Ac4 0.404 0.309 0.691
Ac5 0.750 0.500 0.501
Dy2 0.943 0.887 0.114
Ac6 0.250 0.500 0.499
```



| no. | raw total energy (eV/atom) |
| --- | --- |
| 1 | -4.66 |
| 2 | -4.17 |
| 3 | -4.27 |
| 4 | -4.43 |
| 5 | -4.68 |
| 6 | -4.16 |